La6NdSm12 GGA-PBE relaxed; space group = R-3, No. 148; E_tot = -4.661 eV/atom; total magnetization = 0.00 μB/cell; excess energy over the best structure of this formula in the dataset = 106.8 meV/atom; Fermi-level density of states = 30.748 states/eV/f.u.
1.0
-8.4388 -2.2129 0.7129
2.2751 -8.0635 2.5341
-0.0200 2.5682 8.3679
La Nd Sm
6 1 12
direct
0.7364 0.9075 0.3050 La
0.6950 0.2636 0.0925 La
0.0925 0.6950 0.2636 La
0.2636 0.0925 0.6950 La
0.3050 0.7364 0.9075 La
0.9075 0.3050 0.7364 La
0.0000 0.0000 0.0000 Nd
0.7781 0.5341 0.4382 Sm
0.4382 0.7781 0.5341 Sm
0.5341 0.4382 0.7781 Sm
0.2219 0.4659 0.5618 Sm
0.5618 0.2219 0.4659 Sm
0.4659 0.5618 0.2219 Sm
0.0194 0.1917 0.3603 Sm
0.8083 0.6397 0.9806 Sm
0.6397 0.9806 0.8083 Sm
0.9806 0.8083 0.6397 Sm
0.1917 0.3603 0.0194 Sm
0.3603 0.0194 0.1917 Sm

---

La6Nd2Sm3 GGA-PBE relaxed; space group = I4/mmm, No. 139; E_tot = -4.412 eV/atom; total magnetization = 0.00 μB/cell; Fermi-level density of states = 14.899 states/eV/f.u.
1.0
-3.8060 -0.5162 -4.6108
3.7855 -3.7936 -2.7000
-5.1841 -6.7931 8.9449
La Nd Sm
6 2 3
direct
0.1087 0.6087 0.2174 La
0.6087 0.1087 0.2174 La
0.8913 0.3913 0.7826 La
0.3913 0.8913 0.7826 La
0.7179 0.7179 0.4357 La
0.2821 0.2821 0.5643 La
0.4378 0.4378 0.8755 Nd
0.5622 0.5622 0.1245 Nd
0.0000 0.0000 0.0000 Sm
0.8487 0.8487 0.6975 Sm
0.1513 0.1513 0.3025 Sm

---

La3Nd2Sm4 GGA-PBE relaxed; space group = P3m1, No. 156; E_tot = -4.736 eV/atom; total magnetization = 0.00 μB/cell; excess energy over the best structure of this formula in the dataset = 44.6 meV/atom; Fermi-level density of states = 15.458 states/eV/f.u.
1.0
3.6685 0.0000 0.0000
-1.8343 3.1770 0.0000
0.0000 0.0000 27.5226
La Nd Sm
3 2 4
direct
0.0000 0.0000 0.9844 La
0.0000 0.0000 0.3225 La
0.6667 0.3333 0.6522 La
0.6667 0.3333 0.0924 Nd
0.6667 0.3333 0.8693 Nd
0.0000 0.0000 0.5406 Sm
0.6667 0.3333 0.4363 Sm
0.6667 0.3333 0.2162 Sm
0.0000 0.0000 0.7632 Sm

---

La4NdSm GGA-PBE relaxed; space group = Pmmm, No. 47; E_tot = -4.849 eV/atom; total magnetization = 0.00 μB/cell; excess energy over the best structure of this formula in the dataset = 0.0 meV/atom; Fermi-level density of states = 11.758 states/eV/f.u.
1.0
-0.7102 -3.1537 -1.7954
4.8710 0.0417 -1.9999
-1.2318 -5.8354 10.7373
La Nd Sm
4 1 1
direct
0.5000 0.3304 0.8300 La
0.5000 0.6696 0.1700 La
0.0000 0.3319 0.3318 La
0.0000 0.6681 0.6682 La
0.0000 0.0000 0.0000 Nd
0.5000 0.0000 0.5000 Sm

---

LaNd7Sm4 GGA-PBE relaxed; space group = P-1, No. 2; E_tot = -4.759 eV/atom; total magnetization = 0.00 μB/cell; excess energy over the best structure of this formula in the dataset = 0.0 meV/atom; Fermi-level density of states = 16.183 states/eV/f.u.
1.0
6.5849 -1.8993 2.8082
0.7365 5.9373 2.2946
2.9016 -2.3591 11.1472
La Nd Sm
1 7 4
direct
0.0000 0.0000 0.0000 La
0.7478 0.4998 0.0006 Nd
0.2522 0.5002 0.9994 Nd
0.0825 0.2785 0.6658 Nd
0.9175 0.7215 0.3342 Nd
0.3335 0.7768 0.6666 Nd
0.5000 0.0000 0.0000 Nd
0.6665 0.2232 0.3334 Nd
0.4145 0.7222 0.3334 Sm
0.5855 0.2778 0.6666 Sm
0.8333 0.7797 0.6668 Sm
0.1667 0.2203 0.3332 Sm

---

La3NdSm6 GGA-PBE relaxed; space group = R3, No. 146; E_tot = -4.540 eV/atom; total magnetization = 0.00 μB/cell; excess energy over the best structure of this formula in the dataset = 110.8 meV/atom; Fermi-level density of states = 21.983 states/eV/f.u.
1.0
-8.3191 -2.1889 -5.3090
0.7780 -4.7886 -8.8684
-2.7824 -5.8085 -2.8688
La Nd Sm
3 1 6
direct
0.3501 0.3501 0.9496 La
0.5988 0.5988 0.2037 La
0.1021 0.1021 0.6938 La
0.8499 0.8499 0.4504 Nd
0.9235 0.6028 0.1968 Sm
0.2770 0.9235 0.1968 Sm
0.6028 0.2770 0.1968 Sm
0.0976 0.4225 0.7040 Sm
0.7759 0.0976 0.7040 Sm
0.4225 0.7759 0.7040 Sm

---

LaNd6Sm8 GGA-PBE relaxed; space group = R-3, No. 148; E_tot = -4.606 eV/atom; total magnetization = 0.00 μB/cell; excess energy over the best structure of this formula in the dataset = 0.0 meV/atom; Fermi-level density of states = 22.660 states/eV/f.u.
1.0
9.4481 0.0000 0.0000
4.7240 8.1823 0.0000
4.7240 2.7274 6.8064
La Nd Sm
1 6 8
direct
0.0000 0.0000 0.0000 La
0.4449 0.8937 0.9272 Nd
0.1063 0.2658 0.0728 Nd
0.2658 0.5551 0.0728 Nd
0.7342 0.4449 0.9272 Nd
0.8937 0.7342 0.9272 Nd
0.5551 0.1063 0.0728 Nd
0.3470 0.2276 0.5082 Sm
0.7724 0.0828 0.4918 Sm
0.0828 0.6530 0.4918 Sm
0.5711 0.5711 0.2868 Sm
0.4289 0.4289 0.7132 Sm
0.9172 0.3470 0.5082 Sm
0.2276 0.9172 0.5082 Sm
0.6530 0.7724 0.4918 Sm

---

LaNd6Sm12 GGA-PBE relaxed; space group = R-3, No. 148; E_tot = -4.611 eV/atom; total magnetization = 0.00 μB/cell; excess energy over the best structure of this formula in the dataset = 0.0 meV/atom; Fermi-level density of states = 29.859 states/eV/f.u.
1.0
8.6653 0.6855 0.8212
-0.6361 8.6691 0.8212
-0.6361 -0.7412 8.6763
La Nd Sm
1 6 12
direct
0.0000 0.0000 0.0000 La
0.7390 0.9069 0.3068 Nd
0.6932 0.2610 0.0931 Nd
0.0931 0.6932 0.2610 Nd
0.2610 0.0931 0.6932 Nd
0.3068 0.7390 0.9069 Nd
0.9069 0.3068 0.7390 Nd
0.7767 0.5377 0.4359 Sm
0.4359 0.7767 0.5377 Sm
0.5377 0.4359 0.7767 Sm
0.2233 0.4623 0.5641 Sm
0.5641 0.2233 0.4623 Sm
0.4623 0.5641 0.2233 Sm
0.0159 0.1998 0.3584 Sm
0.8002 0.6416 0.9841 Sm
0.6416 0.9841 0.8002 Sm
0.9841 0.8002 0.6416 Sm
0.1998 0.3584 0.0159 Sm
0.3584 0.0159 0.1998 Sm

---

What is the formula in the fifth record? LaNd7Sm4

---

E_tot of number 8 (LaNd6Sm12)? -4.611 eV/atom

---

Which value of E_tot does entry 5 give? -4.759 eV/atom